1.
Crystalline Cd5Hg4 at its relaxed geometry. Source: Alexandria, functional GGA-PBEsol.

Results
Energy   -16.112 eV/cell
ΔE to the lowest computed polymorph   18.9 meV per atom
Crystal system   hexagonal
Magnetic moment   0.0 μB per cell
Space-group type   No. 193

abc: 5.825 8.867 8.867
angles: 120.00 90.00 90.00
Fractional coordinates of all 18 atoms:
Hg: 0.000 0.000 0.000
Hg: 0.250 0.000 0.632
Hg: 0.750 0.000 0.368
Hg: 0.250 0.632 0.000
Hg: 0.500 0.000 0.000
Hg: 0.250 0.368 0.368
Hg: 0.750 0.368 0.000
Hg: 0.750 0.632 0.632
Cd: 0.500 0.667 0.333
Cd: 0.750 0.699 0.000
Cd: 0.250 0.699 0.699
Cd: 0.750 0.000 0.699
Cd: 0.000 0.333 0.667
Cd: 0.250 0.301 0.000
Cd: 0.750 0.301 0.301
Cd: 0.500 0.333 0.667
Cd: 0.000 0.667 0.333
Cd: 0.250 0.000 0.301

=====

2.
Crystalline DyCo2Ge2 at its relaxed geometry. Source: Alexandria, functional GGA-PBEsol.

Results
Energy   -33.714 eV/cell
Crystal system   tetragonal
Magnetic moment   0.0 μB per cell
Space-group type   No. 139

abc: 3.896 3.896 5.701
angles: 109.98 109.98 90.00
Fractional coordinates of all 5 atoms:
Ge: 0.627 0.627 0.255
Ge: 0.373 0.373 0.745
Dy: 0.000 0.000 0.000
Co: 0.750 0.250 0.500
Co: 0.250 0.750 0.500

=====

3.
Crystalline Mg2TaSe at its relaxed geometry. Source: Alexandria, functional GGA-PBEsol.

Results
Energy   -18.320 eV/cell
Crystal system   cubic
Magnetic moment   0.0 μB per cell
Uncorrected formation energy   0.38 eV per atom
Space-group type   No. 216

abc: 4.715 4.715 4.715
angles: 60.00 60.00 60.00
Fractional coordinates of all 4 atoms:
Mg: 0.000 0.000 0.000
Mg: 0.750 0.750 0.750
Ta: 0.250 0.250 0.250
Se: 0.500 0.500 0.500

=====

4.
Crystalline Li3Cr at its relaxed geometry. Source: Alexandria, functional GGA-PBEsol.

Results
Energy   -13.999 eV/cell
ΔE to the lowest computed polymorph   72.4 meV per atom
Crystal system   tetragonal
Magnetic moment   2.4 μB per cell
Space-group type   No. 123

abc: 2.536 4.849 4.849
angles: 90.00 90.00 90.00
Fractional coordinates of all 4 atoms:
Li: 0.500 0.000 0.500
Li: 0.500 0.500 0.000
Li: 0.000 0.500 0.500
Cr: 0.000 0.000 0.000

=====

5.
Crystalline IrRuRh2 at its relaxed geometry. Source: Alexandria, functional GGA-PBEsol.

Results
Energy   -36.250 eV/cell
ΔE to the lowest computed polymorph   22.8 meV per atom
Crystal system   tetragonal
Magnetic moment   0.0 μB per cell
Space-group type   No. 123

abc: 3.779 3.779 3.795
angles: 90.00 90.00 90.00
Fractional coordinates of all 4 atoms:
Ir: 0.000 0.000 0.500
Rh: 0.500 0.000 0.000
Rh: 0.000 0.500 0.000
Ru: 0.500 0.500 0.500

=====

6.
Crystalline LiNbCoO4 at its relaxed geometry. Source: Alexandria, functional GGA-PBEsol.

Results
Energy   -109.236 eV/cell
ΔE to the lowest computed polymorph   33.8 meV per atom
Crystal system   orthorhombic
Magnetic moment   6.0 μB per cell
Uncorrected formation energy   -1.87 eV per atom
Space-group type   No. 74

abc: 5.792 6.016 6.016
angles: 61.51 61.22 61.22
Fractional coordinates of all 14 atoms:
Li: 0.141 0.609 0.109
Li: 0.859 0.391 0.891
O: 0.268 0.211 0.254
O: 0.732 0.789 0.746
O: 0.273 0.747 0.247
O: 0.268 0.754 0.711
O: 0.267 0.253 0.753
O: 0.733 0.747 0.247
O: 0.732 0.246 0.289
O: 0.727 0.253 0.753
Co: 0.000 0.000 0.500
Co: 0.500 0.000 0.500
Nb: 0.500 0.000 0.000
Nb: 0.500 0.500 0.500

=====

7.
Crystalline YMg3Cu2 at its relaxed geometry. Source: Alexandria, functional GGA-PBEsol.

Results
Energy   -42.321 eV/cell
Crystal system   hexagonal
Magnetic moment   0.0 μB per cell
Space-group type   No. 194

abc: 4.578 4.578 12.494
angles: 90.00 90.00 120.00
Fractional coordinates of all 12 atoms:
Mg: 0.333 0.667 0.591
Mg: 0.667 0.333 0.091
Mg: 0.667 0.333 0.409
Mg: 0.000 0.000 0.500
Mg: 0.333 0.667 0.909
Mg: 0.000 0.000 0.000
Cu: 0.333 0.667 0.359
Cu: 0.667 0.333 0.641
Cu: 0.333 0.667 0.141
Cu: 0.667 0.333 0.859
Y: 0.000 0.000 0.250
Y: 0.000 0.000 0.750

=====

8.
Crystalline SrHfFe3 at its relaxed geometry. Source: Alexandria, functional GGA-PBEsol.

Results
Energy   -28.866 eV/cell
Crystal system   cubic
Magnetic moment   5.2 μB per cell
Space-group type   No. 221

abc: 4.512 4.512 4.512
angles: 90.00 90.00 90.00
Fractional coordinates of all 5 atoms:
Fe: 0.000 0.500 0.000
Fe: 0.500 0.000 0.000
Fe: 0.000 0.000 0.500
Hf: 0.500 0.500 0.500
Sr: 0.000 0.000 0.000